(1)
Computed, not measured: a relaxed structure of CuSiHgPt at the PBE level of DFT.

- crystal system = cubic
- E above lowest polymorph (meV per atom) = 0
- space group = F-43m (216)

```
CuSiHgPt
1.0
3.4076 2.8199 0.8110
-0.1526 2.7467 3.5572
2.7210 -0.7118 3.5086
Hg Cu Pt Si
1 1 1 1
Cartesian
2.9880 2.4274 3.9384
4.4820 3.6411 5.9076
1.4940 1.2137 1.9692
0.0000 0.0000 0.0000
```

(2)
Computed, not measured: a relaxed structure of HoHfSc2Sb2 at the PBE level of DFT.

- crystal system = tetragonal
- E (eV per cell) = -39.27
- space group = I4mm (107)

```
HoHfSc2Sb2
1.0
-2.0992 2.0992 8.0286
2.0992 -2.0992 8.0286
2.0992 2.0992 -8.0286
Hf Sc Ho Sb
1 2 1 2
Cartesian
0.0000 0.0000 10.8265
0.0000 2.0992 0.0464
2.0992 0.0000 0.0464
0.0000 0.0000 5.1394
0.0000 0.0000 2.1591
0.0000 0.0000 13.8968
```

(3)
Computed, not measured: a relaxed structure of Ta2AlZn2 at the PBE level of DFT.

- crystal system = orthorhombic
- E (eV per cell) = -57.08
- space group = Pbam (55)

```
Ta2AlZn2
1.0
4.7720 0.0000 0.0000
0.0000 8.5406 0.0000
0.0000 0.0000 4.5284
Ta Zn Al
4 4 2
Cartesian
2.3753 7.1064 0.0000
2.3968 1.4342 0.0000
4.7613 5.7045 0.0000
0.0108 2.8361 0.0000
0.8189 1.4372 2.2642
1.5671 5.7075 2.2642
3.2049 2.8331 2.2642
3.9531 7.1035 2.2642
0.0000 0.0000 0.0000
2.3860 4.2703 0.0000
```

(4)
Computed, not measured: a relaxed structure of Gd3Mg3PdAu2 at the PBE level of DFT.

- crystal system = hexagonal
- E (eV per cell) = -36.45
- space group = P-62m (189)

```
Gd3Mg3PdAu2
1.0
7.6157 0.0000 0.0000
-3.8079 6.5954 0.0000
0.0000 0.0000 4.0924
Mg Au Gd Pd
3 2 3 1
Cartesian
-2.8953 5.0148 2.0462
5.7906 0.0000 2.0462
0.9126 1.5806 2.0462
0.0000 4.3969 2.0462
3.8079 2.1985 2.0462
-1.5646 2.7100 0.0000
3.1293 0.0000 0.0000
2.2432 3.8854 0.0000
0.0000 0.0000 0.0000
```

(5)
Computed, not measured: a relaxed structure of Tm5MgIn3 at the PBE level of DFT.

- crystal system = hexagonal
- E (eV per cell) = -70.62
- space group = P6_3/mcm (193)

```
Tm5MgIn3
1.0
-1.5495 -3.9983 -8.0887
4.4253 -4.5629 6.5888
-5.6881 -2.3008 2.2269
Tm In Mg
10 6 2
Cartesian
1.6482 -3.7409 5.1279
-2.9110 -3.1229 3.6878
2.4337 -4.3747 1.6963
-4.7405 -2.9500 -0.8067
-0.5414 -3.1968 0.0974
-2.4019 -5.3370 -2.0828
0.4421 -4.1865 -3.1962
-2.2709 -7.6653 0.6295
-2.4970 -3.3492 -5.0551
-0.4103 -5.5251 2.8097
-1.9750 -2.0022 -2.3301
0.4274 -6.0810 -0.4079
-1.4201 -4.6601 5.9075
-5.2625 -4.2970 -3.5317
0.1573 -2.2037 2.9082
-3.2397 -4.7811 1.1349
0.0000 0.0000 0.0000
-2.8440 -1.1504 1.1135
```

(6)
Computed, not measured: a relaxed structure of AcCuSn at the PBE level of DFT.

- crystal system = cubic
- E above lowest polymorph (meV per atom) = 734
- space group = F-43m (216)

```
AcCuSn
1.0
0.0000 3.7104 3.7104
3.7104 0.0000 3.7104
3.7104 3.7104 0.0000
Cu Ac Sn
1 1 1
Cartesian
1.8552 1.8552 1.8552
0.0000 0.0000 0.0000
5.5657 5.5657 5.5657
```